{
  "formula": "TcNi3Pt4",
  "functional": "PBE-GGA",
  "state": "relaxed",
  "crystal_system": "orthorhombic",
  "volume_a3_per_atom": 13.9,
  "energy_ev_per_atom": -6.57,
  "lattice_angstrom": [[8.811, 0.000, 0.000], [0.000, 5.412, 0.000], [0.000, 0.000, 4.651]],
  "species": ["Tc", "Tc", "Ni", "Ni", "Ni", "Ni", "Ni", "Ni", "Pt", "Pt", "Pt", "Pt", "Pt", "Pt", "Pt", "Pt"],
  "frac_coords": [[0.000, 0.000, 0.000], [0.500, 0.000, 0.000], [0.000, 0.500, 0.000], [0.250, 0.000, 0.331], [0.250, 0.500, 0.342], [0.500, 0.500, 0.000], [0.750, 0.000, 0.669], [0.750, 0.500, 0.658], [0.000, 0.251, 0.500], [0.000, 0.749, 0.500], [0.250, 0.253, 0.849], [0.250, 0.747, 0.849], [0.500, 0.251, 0.500], [0.500, 0.749, 0.500], [0.750, 0.253, 0.151], [0.750, 0.747, 0.151]]
}